LiYAgSn | the Alexandria database | PBE | optimized geometry; theoretical density = 6.01 Mg/m³; D(E_F) = 2.13 states/eV/f.u.; E_form = -454 meV/atom; crystal system = cubic
1.0
-0.382 -0.435 4.980
-3.255 -3.252 1.990
1.671 -4.135 2.291
Y Sn Ag Li
1 1 1 1
Direct
0.750 0.750 0.750
0.000 0.000 0.000
0.500 0.500 0.500
0.250 0.250 0.250